(1)
Crystalline AcZn2SiAg at its relaxed geometry. Source: Alexandria via LeMat-Bulk, functional PBE.

Properties
SG   Imm2 (44)
Energy relative to the elements, uncorrected   -368 meV/atom
DFT total energy   -16.8 eV/f.u.

Cell lengths 6.2637, 6.2637, 6.2637 Å; angles 139.23, 138.56, 59.54 degrees
Element x y z (fractional)
Ac: 0.0000 0.0000 0.0000
Zn: 0.3834 0.3834 0.0000
Zn: 0.7465 0.2465 0.5000
Si: 0.6130 0.6130 0.0000
Ag: 0.2435 0.7435 0.5000

***

(2)
Crystalline Nd3CdCu8 at its relaxed geometry. Source: Alexandria via LeMat-Bulk, functional PBE.

Properties
SG   R3m (160)
DFT total energy   -49.6 eV/f.u.
Calculated formation energy   -0.13 eV per atom

Cell lengths 9.1716, 9.1716, 9.1716 Å; angles 33.45, 33.45, 33.45 degrees
Element x y z (fractional)
Nd: 0.0000 0.0000 0.0000
Nd: 0.1256 0.1256 0.1256
Nd: 0.5102 0.5102 0.5102
Cd: 0.6327 0.6327 0.6327
Cu: 0.0634 0.5671 0.5671
Cu: 0.0720 0.0720 0.5604
Cu: 0.0720 0.5604 0.0720
Cu: 0.3159 0.3159 0.3159
Cu: 0.5604 0.0720 0.0720
Cu: 0.5671 0.0634 0.5671
Cu: 0.5671 0.5671 0.0634
Cu: 0.8180 0.8180 0.8180

***

(3)
Crystalline Ca3Sb3Rh at its relaxed geometry. Source: Alexandria via LeMat-Bulk, functional PBE.

Properties
SG   C2/m (12)
Energy relative to the elements, uncorrected   -831 meV/atom
DFT total energy   -31.5 eV/f.u.

Cell lengths 6.2502, 6.2502, 14.8259 Å; angles 106.09, 106.09, 42.76 degrees
Element x y z (fractional)
Ca: 0.0390 0.0390 0.3885
Ca: 0.0667 0.0667 0.9112
Ca: 0.2575 0.2575 0.2281
Ca: 0.7425 0.7425 0.7719
Ca: 0.9333 0.9333 0.0888
Ca: 0.9610 0.9610 0.6115
Sb: 0.3407 0.3407 0.9238
Sb: 0.3615 0.3615 0.4473
Sb: 0.4434 0.4434 0.7520
Sb: 0.5566 0.5566 0.2480
Sb: 0.6385 0.6385 0.5527
Sb: 0.6593 0.6593 0.0762
Rh: 0.2580 0.2580 0.5860
Rh: 0.7420 0.7420 0.4140

***

(4)
Crystalline LiAc2LaS4 at its relaxed geometry. Source: Alexandria via LeMat-Bulk, functional PBE.

Properties
SG   P2/m (10)
Energy relative to the elements, uncorrected   -1913 meV/atom
DFT total energy   -46.9 eV/f.u.

Cell lengths 7.2009, 4.2236, 7.2887 Å; angles 90.00, 109.78, 90.00 degrees
Element x y z (fractional)
Li: 0.0000 0.0000 0.0000
Ac: 0.5000 0.0000 0.5000
Ac: 0.5000 0.5000 0.0000
La: 0.0000 0.5000 0.5000
S: 0.2350 0.0000 0.7522
S: 0.2348 0.5000 0.2411
S: 0.7650 0.0000 0.2478
S: 0.7652 0.5000 0.7589

***

(5)
Crystalline BeP2O2 at its relaxed geometry. Source: Alexandria via LeMat-Bulk, functional PBE.

Properties
SG   P4/mmm (123)
Energy relative to the elements, uncorrected   817 meV/atom
DFT total energy   -20.4 eV/f.u.

Cell lengths 3.8691, 3.8691, 4.0182 Å; angles 90.00, 90.00, 90.00 degrees
Element x y z (fractional)
Be: 0.0000 0.0000 0.0000
P: 0.0000 0.5000 0.5000
P: 0.5000 0.0000 0.5000
O: 0.5000 0.5000 0.0000
O: 0.5000 0.5000 0.5000

***

(6)
Crystalline LiSi2Tc at its relaxed geometry. Source: Alexandria via LeMat-Bulk, functional PBE.

Properties
SG   P4mm (99)
Energy relative to the elements, uncorrected   244 meV/atom
DFT total energy   -22.2 eV/f.u.

Cell lengths 2.6740, 2.6740, 7.9418 Å; angles 90.00, 90.00, 90.00 degrees
Element x y z (fractional)
Li: 0.0000 0.0000 0.0000
Si: 0.0000 0.0000 0.4990
Si: 0.5000 0.5000 0.2532
Tc: 0.5000 0.5000 0.7232